# KBaHg4 PBE-GGA optimized geometry
# * formation energy: -291 meV per atom
# * ΔE to the lowest computed polymorph: 7.35 kJ per mole of atoms
# * DFT total energy: -23.9 eV for the cell shown
data_KBaHg4
_cell_length_a 9.070
_cell_length_b 9.070
_cell_length_c 9.070
_cell_angle_alpha 90.00
_cell_angle_beta 90.00
_cell_angle_gamma 90.00
_symmetry_space_group_name_H-M 'F -4 3 m'
_symmetry_Int_Tables_number 216
_symmetry_space_group_name_Hall 'F -4 2 3'
loop_
_atom_site_label
_atom_site_type_symbol
_atom_site_fract_x
_atom_site_fract_y
_atom_site_fract_z
K1 K 0.000 0.000 0.000
Ba1 Ba 0.250 0.250 0.750
Hg1 Hg 0.125 0.125 0.375